Entry 1:
Computed, not measured: crystalline Th2Pd5Au2 at its relaxed geometry at the GGA-PBE level of DFT.

## Properties
- N(E_F): 4.62 states/eV/f.u.
- Calculated formation energy: -0.52 eV/atom
- SG: Ima2
- ρ: 12.160 g/cm³

Lattice parameters (Å, degrees): 7.458 6.574 9.202 110.93 113.91 90.00
Element x y z (fractional)
Th 0.055 0.661 0.238
Th 0.945 0.423 0.762
Th 0.683 0.161 0.238
Th 0.317 0.923 0.762
Pd 0.340 0.763 0.030
Pd 0.660 0.732 0.970
Pd 0.191 0.263 0.030
Pd 0.809 0.232 0.970
Pd 0.335 0.054 0.324
Pd 0.665 0.730 0.676
Pd 0.489 0.554 0.324
Pd 0.511 0.230 0.676
Pd 0.915 0.603 0.500
Pd 0.085 0.103 0.500
Au 0.000 0.899 0.000
Au 0.500 0.399 0.000
Au 0.271 0.470 0.500
Au 0.729 0.970 0.500

Entry 2:
Computed, not measured: crystalline Th2PdAu3 at its relaxed geometry at the GGA-PBE level of DFT.

## Properties
- N(E_F): 4.90 states/eV/f.u.
- Calculated formation energy: -0.72 eV/atom
- SG: Pmm2
- ρ: 14.080 g/cm³

Lattice parameters (Å, degrees): 3.507 4.731 8.255 90.00 90.00 90.00
Element x y z (fractional)
Th 0.000 0.500 0.011
Th 0.000 0.000 0.492
Pd 0.500 0.500 0.333
Au 0.500 0.000 0.834
Au 0.500 0.000 0.168
Au 0.500 0.500 0.663

Entry 3:
Computed, not measured: crystalline ThPd8Au6 at its relaxed geometry at the GGA-PBE level of DFT.

## Properties
- N(E_F): 5.26 states/eV/f.u.
- Calculated formation energy: -0.18 eV/atom
- SG: P-3
- ρ: 13.788 g/cm³

Lattice parameters (Å, degrees): 5.122 7.842 7.842 120.00 90.00 90.00
Element x y z (fractional)
Th 0.500 0.000 0.000
Pd 0.831 0.042 0.290
Pd 0.831 0.710 0.752
Pd 0.831 0.248 0.958
Pd 0.169 0.958 0.710
Pd 0.169 0.290 0.248
Pd 0.169 0.752 0.042
Pd 0.801 0.333 0.667
Pd 0.199 0.667 0.333
Au 0.680 0.649 0.109
Au 0.680 0.891 0.539
Au 0.680 0.461 0.351
Au 0.320 0.351 0.891
Au 0.320 0.109 0.461
Au 0.320 0.539 0.649